--- w ---
Entry from the Alexandria database: a geometry-optimized Tl2SnTe2 structure (GGA-PBE).

- Crystal system: tetragonal

Cell and atoms, written as POSCAR:
```
Tl2SnTe2
1.0
-2.204 2.204 8.549
2.204 -2.204 8.549
2.204 2.204 -8.549
Tl Sn Te
2 1 2
direct
0.250 0.750 0.500
0.750 0.250 0.500
0.000 0.000 0.000
0.406 0.406 0.000
0.594 0.594 0.000
```

--- x ---
Entry from the Alexandria database: a geometry-optimized Tl2SnTe2 structure (GGA-PBE).

- Crystal system: monoclinic

Cell and atoms, written as POSCAR:
```
Tl2SnTe2
1.0
10.998 0.000 0.000
0.000 8.349 0.000
-3.097 0.000 7.927
Tl Sn Te
8 4 8
direct
0.074 0.222 0.065
0.074 0.278 0.565
0.281 0.596 0.978
0.281 0.904 0.478
0.719 0.096 0.522
0.719 0.404 0.022
0.926 0.722 0.435
0.926 0.778 0.935
0.343 0.140 0.961
0.343 0.360 0.461
0.657 0.640 0.539
0.657 0.860 0.039
0.118 0.578 0.256
0.118 0.922 0.756
0.468 0.608 0.712
0.468 0.892 0.212
0.532 0.108 0.788
0.532 0.392 0.288
0.882 0.078 0.244
0.882 0.422 0.744
```

In terms of stability, x leads; the second structure lies 0.240 eV/atom higher.

--- w ---
Entry from the Alexandria database: a geometry-optimized TlSn2Te2 structure (GGA-PBE).

- Crystal system: tetragonal

Cell and atoms, written as POSCAR:
```
TlSn2Te2
1.0
8.821 0.000 0.000
0.000 8.821 0.000
0.000 0.000 4.143
Tl Sn Te
2 4 4
direct
0.000 0.000 0.000
0.500 0.500 0.000
0.140 0.360 0.500
0.360 0.860 0.500
0.640 0.140 0.500
0.860 0.640 0.500
0.154 0.654 0.000
0.346 0.154 0.000
0.654 0.846 0.000
0.846 0.346 0.000
```

--- x ---
Entry from the Alexandria database: a geometry-optimized TlSn2Te2 structure (GGA-PBE).

- Crystal system: tetragonal

Cell and atoms, written as POSCAR:
```
TlSn2Te2
1.0
-2.271 2.271 8.070
2.271 -2.271 8.070
2.271 2.271 -8.070
Tl Sn Te
1 2 2
direct
0.000 0.000 0.000
0.250 0.750 0.500
0.750 0.250 0.500
0.404 0.404 0.000
0.596 0.596 0.000
```

--- y ---
Entry from the Alexandria database: a geometry-optimized TlSn2Te2 structure (GGA-PBE).

- Crystal system: monoclinic

Cell and atoms, written as POSCAR:
```
TlSn2Te2
1.0
4.934 -3.607 0.000
4.934 3.607 0.000
-2.847 0.000 4.550
Tl Sn Te
1 2 2
direct
0.000 0.000 0.000
0.280 0.720 0.500
0.720 0.280 0.500
0.275 0.275 0.774
0.725 0.725 0.226
```

--- z ---
Entry from the Alexandria database: a geometry-optimized TlSn2Te2 structure (GGA-PBE).

- Crystal system: tetragonal

Cell and atoms, written as POSCAR:
```
TlSn2Te2
1.0
8.577 0.000 0.000
0.000 8.577 0.000
0.000 0.000 4.260
Tl Sn Te
2 4 4
direct
0.000 0.000 0.000
0.500 0.500 0.000
0.138 0.362 0.000
0.362 0.862 0.000
0.638 0.138 0.000
0.862 0.638 0.000
0.173 0.673 0.500
0.327 0.173 0.500
0.673 0.827 0.500
0.827 0.327 0.500
```

In terms of stability, z leads; the second structure lies 0.011 eV/atom higher.

--- w ---
Entry from the Alexandria database: a geometry-optimized Tm2SnTe structure (GGA-PBE).

- Crystal system: tetragonal

Cell and atoms, written as POSCAR:
```
Tm2SnTe
1.0
-3.062 3.062 6.149
3.062 -3.062 6.149
3.062 3.062 -6.149
Tm Sn Te
4 2 2
direct
0.121 0.371 0.750
0.371 0.121 0.250
0.629 0.879 0.750
0.879 0.629 0.250
0.125 0.875 0.250
0.875 0.125 0.750
0.375 0.625 0.750
0.625 0.375 0.250
```

--- x ---
Entry from the Alexandria database: a geometry-optimized Tm2SnTe structure (GGA-PBE).

- Crystal system: tetragonal

Cell and atoms, written as POSCAR:
```
Tm2SnTe
1.0
3.636 0.000 0.000
0.000 3.636 0.000
0.000 0.000 7.978
Tm Sn Te
2 1 1
direct
0.000 0.000 0.242
0.000 0.000 0.758
0.500 0.500 0.500
0.500 0.500 0.000
```

--- y ---
Entry from the Alexandria database: a geometry-optimized Tm2SnTe structure (GGA-PBE).

- Crystal system: trigonal

Cell and atoms, written as POSCAR:
```
Tm2SnTe
1.0
2.172 1.254 7.127
-2.172 1.254 7.127
0.000 -2.508 7.127
Tm Sn Te
2 1 1
direct
0.245 0.245 0.245
0.755 0.755 0.755
0.500 0.500 0.500
0.000 0.000 0.000
```

In terms of stability, w leads; the second structure lies 0.018 eV/atom higher.